DFT (GGA-PBE) results for a relaxed structure of BeCoCuP2.

```
BeCoCuP2
1.0
-3.869 1.751 -0.223
-1.644 -3.505 1.005
0.245 1.063 4.110
Co P Be Cu
1 2 1 1
direct
0.000 0.000 0.000
0.000 0.000 0.500
0.500 0.000 0.000
0.000 0.500 0.000
0.500 0.500 0.500
```

Properties
Its symmetry is P4/mmm (123). As for the energy above the most stable polymorph in this dataset: 0.000 eV per atom. The final energy comes out at -4.65 eV/atom. Its calculated formation energy is 0.50 eV per atom. The value obtained for the spin magnetization is 0.00 μB per atom.